Entry 1:
Entry from the Alexandria database: YV after structural relaxation (PBE).

Computed properties:
Distance to the lowest polymorph of the same formula   129.0 meV per atom
Energy relative to the elements   0.72 eV/f.u.
Magnetic moment   0.00 μB per cell

a = 12.631 Å, b = 3.453 Å, c = 6.496 Å
α = 90.00°, β = 90.00°, γ = 90.00°
Space group Pmn2_1 (No. 31)
Asymmetric unit:
Y  0.000  0.249  0.000
Y  0.218  0.751  0.274
V  0.000  0.248  0.487
V  0.096  0.749  0.667

***

Entry 2:
Entry from the Alexandria database: YV after structural relaxation (PBE).

Computed properties:
Distance to the lowest polymorph of the same formula   124.7 meV per atom
Energy relative to the elements   0.71 eV/f.u.
Magnetic moment   0.00 μB per cell

a = 5.629 Å, b = 9.334 Å, c = 14.047 Å
α = 90.00°, β = 90.00°, γ = 90.00°
Space group Fddd (No. 70, origin choice 2)
Asymmetric unit:
Y  0.125  0.293  0.125
V  0.125  0.125  0.558

***

Entry 3:
Entry from the Alexandria database: YV after structural relaxation (PBE).

Computed properties:
Distance to the lowest polymorph of the same formula   148.8 meV per atom
Energy relative to the elements   0.76 eV/f.u.
Magnetic moment   0.00 μB per cell

a = 3.290 Å, b = 4.530 Å, c = 6.357 Å
α = 98.63°, β = 102.61°, γ = 91.11°
Space group P-1 (No. 2)
Asymmetric unit:
Y  0.145  0.214  0.321
V  0.444  0.685  0.089

***

Entry 4:
Entry from the Alexandria database: YV after structural relaxation (PBE).

Computed properties:
Distance to the lowest polymorph of the same formula   0.0 meV per atom
Energy relative to the elements   0.46 eV/f.u.
Magnetic moment   0.00 μB per cell

a = 3.335 Å, b = 3.335 Å, c = 8.158 Å
α = 90.00°, β = 90.00°, γ = 90.00°
Space group P4/nmm (No. 129, origin choice 2)
Asymmetric unit:
Y  0.250  0.250  0.189
V  0.250  0.250  0.560

***

Entry 5:
Entry from the Alexandria database: YV after structural relaxation (PBE).

Computed properties:
Distance to the lowest polymorph of the same formula   646.6 meV per atom
Energy relative to the elements   1.75 eV/f.u.
Magnetic moment   0.00 μB per cell

a = 5.819 Å, b = 5.819 Å, c = 5.988 Å
α = 90.00°, β = 90.00°, γ = 90.00°
Space group P4_2/mnm (No. 136)
Asymmetric unit:
Y  0.177  0.177  0.000
V  0.119  0.119  0.500

***

Entry 6:
Entry from the Alexandria database: YV after structural relaxation (PBE).

Computed properties:
Distance to the lowest polymorph of the same formula   147.3 meV per atom
Energy relative to the elements   0.75 eV/f.u.
Magnetic moment   2.64 μB per cell

a = 3.366 Å, b = 5.045 Å, c = 16.221 Å
α = 90.00°, β = 90.00°, γ = 90.00°
Space group Immm (No. 71)
Asymmetric unit:
Y  0.000  0.000  0.000
Y  0.000  0.500  0.312
V  0.000  0.000  0.500
V  0.000  0.500  0.117

***

Entry 7:
Entry from the Alexandria database: YV after structural relaxation (PBE).

Computed properties:
Distance to the lowest polymorph of the same formula   111.4 meV per atom
Energy relative to the elements   0.68 eV/f.u.
Magnetic moment   0.00 μB per cell

a = 10.230 Å, b = 5.183 Å, c = 3.440 Å
α = 90.00°, β = 104.91°, γ = 90.00°
Space group C2/m (No. 12)
Asymmetric unit:
Y  0.146  0.000  0.376
V  0.080  0.500  0.845

***

Entry 8:
Entry from the Alexandria database: YV after structural relaxation (PBE).

Computed properties:
Distance to the lowest polymorph of the same formula   117.9 meV per atom
Energy relative to the elements   0.70 eV/f.u.
Magnetic moment   0.00 μB per cell

a = 10.441 Å, b = 10.441 Å, c = 3.262 Å
α = 90.00°, β = 90.00°, γ = 90.00°
Space group P4/mnc (No. 128)
Asymmetric unit:
Y  0.145  0.158  0.000
V  0.011  0.630  0.500

***

no.,energy (eV per atom)
1,-7.432
2,-7.436
3,-7.412
4,-7.561
5,-6.915
6,-7.414
7,-7.450
8,-7.443